The following is a PBE calculation of a relaxed structure of LiLa3Sm2Te6, from Alexandria via LeMat-Bulk.

Output
energy relative to the elements, uncorrected: -17.6 eV per formula unit
crystal system: monoclinic
space group: C2/m (12)

a = 10.0387 Å, b = 10.0387 Å, c = 8.9600 Å
α = 102.33°, β = 102.33°, γ = 25.95°
Positions (direct):
Li (0.0000, 0.0000, 0.0000)
La (0.0000, 0.0000, 0.5000)
La (0.3329, 0.3329, 0.1667)
La (0.6671, 0.6671, 0.8333)
Sm (0.3316, 0.3316, 0.6604)
Sm (0.6684, 0.6684, 0.3396)
Te (0.1606, 0.1606, 0.0878)
Te (0.1673, 0.1673, 0.5808)
Te (0.4975, 0.4975, 0.7637)
Te (0.5025, 0.5025, 0.2363)
Te (0.8327, 0.8327, 0.4192)
Te (0.8394, 0.8394, 0.9122)

=====

The following is a PBE calculation of a relaxed structure of LiLa2SmTe5, from Alexandria via LeMat-Bulk.

Output
energy relative to the elements, uncorrected: -12.9 eV per formula unit
crystal system: orthorhombic
space group: Cmc2_1 (36)

a = 9.7537 Å, b = 9.7537 Å, c = 13.3627 Å
α = 90.00°, β = 90.00°, γ = 153.31°
Positions (direct):
Li (0.0560, 0.9440, 0.5000)
Li (0.9440, 0.0560, 0.0000)
La (0.3758, 0.6242, 0.3410)
La (0.3932, 0.6068, 0.7216)
La (0.6068, 0.3932, 0.2216)
La (0.6242, 0.3758, 0.8410)
Sm (0.3013, 0.6987, 0.0457)
Sm (0.6987, 0.3013, 0.5457)
Te (0.0013, 0.9987, 0.8170)
Te (0.1362, 0.8638, 0.0361)
Te (0.1880, 0.8120, 0.3823)
Te (0.2146, 0.7854, 0.7072)
Te (0.4536, 0.5464, 0.1068)
Te (0.5464, 0.4536, 0.6068)
Te (0.7854, 0.2146, 0.2072)
Te (0.8120, 0.1880, 0.8823)
Te (0.8638, 0.1362, 0.5361)
Te (0.9987, 0.0013, 0.3170)

=====

The following is a PBE calculation of a relaxed structure of LiLa2Sm3Te6, from Alexandria via LeMat-Bulk.

Output
energy relative to the elements, uncorrected: -17.2 eV per formula unit
crystal system: monoclinic
space group: C2/m (12)

a = 10.0237 Å, b = 10.0237 Å, c = 8.9787 Å
α = 103.43°, β = 103.43°, γ = 25.75°
Positions (direct):
Li (0.0000, 0.0000, 0.0000)
La (0.3336, 0.3336, 0.6666)
La (0.6664, 0.6664, 0.3334)
Sm (0.0000, 0.0000, 0.5000)
Sm (0.3302, 0.3302, 0.1700)
Sm (0.6698, 0.6698, 0.8300)
Te (0.1609, 0.1609, 0.0714)
Te (0.1640, 0.1640, 0.5866)
Te (0.4967, 0.4967, 0.2415)
Te (0.5033, 0.5033, 0.7585)
Te (0.8360, 0.8360, 0.4134)
Te (0.8391, 0.8391, 0.9286)

=====

The following is a PBE calculation of a relaxed structure of Li2LaSmTe4, from Alexandria via LeMat-Bulk.

Output
energy relative to the elements, uncorrected: -10.7 eV per formula unit
crystal system: monoclinic
space group: P2/m (10)

a = 7.5299 Å, b = 4.4883 Å, c = 7.7742 Å
α = 90.00°, β = 110.07°, γ = 90.00°
Positions (direct):
Li (0.0000, 0.0000, 0.0000)
Li (0.0000, 0.5000, 0.5000)
La (0.5000, 0.0000, 0.5000)
Sm (0.5000, 0.5000, 0.0000)
Te (0.2369, 0.5000, 0.2397)
Te (0.2397, 0.0000, 0.7525)
Te (0.7603, 0.0000, 0.2475)
Te (0.7631, 0.5000, 0.7603)

=====

The following is a PBE calculation of a relaxed structure of LiLaSmTh, from Alexandria via LeMat-Bulk.

Output
energy of formation from the pure elements: 0.263 eV/atom
crystal system: cubic
space group: F-43m (216)

a = 5.6259 Å, b = 5.6259 Å, c = 5.6259 Å
α = 60.00°, β = 60.00°, γ = 60.00°
Positions (direct):
Li (0.0000, 0.0000, 0.0000)
La (0.7500, 0.7500, 0.7500)
Sm (0.2500, 0.2500, 0.2500)
Th (0.5000, 0.5000, 0.5000)

=====

The following is a PBE calculation of a relaxed structure of Li2La2SmTl2, from Alexandria via LeMat-Bulk.

Output
energy of formation from the pure elements: -0.234 eV/atom
crystal system: trigonal
space group: R-3m (166)

a = 9.4908 Å, b = 9.4908 Å, c = 9.4908 Å
α = 29.82°, β = 29.82°, γ = 29.82°
Positions (direct):
Li (0.1014, 0.1014, 0.1014)
Li (0.8986, 0.8986, 0.8986)
La (0.3643, 0.3643, 0.3643)
La (0.6357, 0.6357, 0.6357)
Sm (0.5000, 0.5000, 0.5000)
Tl (0.2328, 0.2328, 0.2328)
Tl (0.7672, 0.7672, 0.7672)

=====

E_tot values, unit eV per atom, following the record order: -5.214, -5.006, -5.169, -4.587, -4.482, -3.539.